Density functional theory data (PBE) for TlMo4Cl7 after structural relaxation.

The structure belongs to space group Pmn2_1 (No. 31); the cell edges are 19.0869, 8.6908 and 4.2720 Å and the angles 90.00°, 90.00° and 90.00°. The distinct sites, in fractional coordinates, are Tl at (0.0000, 0.0957, 0.0000), Mo at (0.1696, 0.5728, 0.5001), Mo at (0.2454, 0.6232, 0.0000), Cl at (0.0000, 0.8776, 0.5000), Cl at (0.1080, 0.6261, 0.0000), Cl at (0.1300, 0.3005, 0.5002) and Cl at (0.2267, 0.8255, 0.5021).

Its density of states at the Fermi level is 6.16 states/eV/f.u. Its energy relative to the elements, uncorrected is -0.56 eV per atom. Its total energy is -5.444 eV/atom. The calculation puts the volume at 354.3 Å³/f.u. The total magnetic moment comes out at 0.4 μB/cell.